Entry 1:
# GGA+U LiBi3PbWClO8, relaxed
# - DFT total energy (eV per cell) = -86.72
data_LiBi3PbWClO8
_chemical_formula_sum 'Li1 Bi3 Pb1 W1 Cl1 O8'
_cell_length_a 3.985
_cell_length_b 3.985
_cell_length_c 14.968
_cell_angle_alpha 90.00
_cell_angle_beta 90.00
_cell_angle_gamma 90.00
_space_group_name_H-M_alt 'P 4 m m'
_space_group_IT_number 99
_space_group_name_Hall 'P 4 -2'
loop_
_atom_site_label
_atom_site_fract_x
_atom_site_fract_y
_atom_site_fract_z
Li1 0.000 0.000 0.000
Bi1 0.000 0.000 0.816
Bi2 0.500 0.500 0.038
Bi3 0.500 0.500 0.306
Pb1 0.000 0.000 0.473
W1 0.500 0.500 0.680
Cl1 0.000 0.000 0.169
O1 0.000 0.500 0.378
O2 0.000 0.500 0.705
O3 0.000 0.500 0.971
O4 0.500 0.500 0.558
O5 0.500 0.500 0.818

Entry 2:
# GGA+U LiBi3PbWClO8, relaxed
# - Fermi-level density of states (states/eV per cell) = 0.890
# - DFT total energy (eV per cell) = -87.55
data_LiBi3PbWClO8
_chemical_formula_sum 'Li1 Bi3 Pb1 W1 Cl1 O8'
_cell_length_a 3.986
_cell_length_b 3.986
_cell_length_c 14.927
_cell_angle_alpha 90.00
_cell_angle_beta 90.00
_cell_angle_gamma 90.00
_space_group_name_H-M_alt 'P 4 m m'
_space_group_IT_number 99
_space_group_name_Hall 'P 4 -2'
loop_
_atom_site_label
_atom_site_fract_x
_atom_site_fract_y
_atom_site_fract_z
Li1 0.000 0.000 0.000
Bi1 0.000 0.000 0.210
Bi2 0.500 0.500 0.374
Bi3 0.500 0.500 0.638
Pb1 0.000 0.000 0.804
W1 0.500 0.500 0.020
Cl1 0.000 0.000 0.493
O1 0.000 0.500 0.026
O2 0.000 0.500 0.299
O3 0.000 0.500 0.708
O4 0.500 0.500 0.156
O5 0.500 0.500 0.894

Entry 3:
# GGA+U LiBi3PbWClO8, relaxed
# - Fermi-level density of states (states/eV per cell) = 0.522
# - DFT total energy (eV per cell) = -86.29
data_LiBi3PbWClO8
_chemical_formula_sum 'Li1 Bi3 Pb1 W1 Cl1 O8'
_cell_length_a 4.086
_cell_length_b 4.115
_cell_length_c 15.285
_cell_angle_alpha 90.00
_cell_angle_beta 90.00
_cell_angle_gamma 90.00
_space_group_name_H-M_alt 'P m m 2'
_space_group_IT_number 25
_space_group_name_Hall 'P 2 -2'
loop_
_atom_site_label
_atom_site_fract_x
_atom_site_fract_y
_atom_site_fract_z
Li1 0.000 0.000 0.000
Bi1 0.000 0.500 0.156
Bi2 0.000 0.500 0.769
Bi3 0.500 0.000 0.305
Pb1 0.500 0.000 0.613
W1 0.000 0.500 0.437
Cl1 0.500 0.000 0.942
O1 0.000 0.000 0.203
O2 0.000 0.000 0.421
O3 0.000 0.000 0.710
O4 0.000 0.500 0.307
O5 0.000 0.500 0.558
O6 0.500 0.500 0.206
O7 0.500 0.500 0.421
O8 0.500 0.500 0.709

Entry 4:
# GGA+U LiBi3PbWClO8, relaxed
# - Fermi-level density of states (states/eV per cell) = 3.747
# - DFT total energy (eV per cell) = -85.80
data_LiBi3PbWClO8
_chemical_formula_sum 'Li1 Bi3 Pb1 W1 Cl1 O8'
_cell_length_a 3.931
_cell_length_b 3.931
_cell_length_c 15.379
_cell_angle_alpha 90.00
_cell_angle_beta 90.00
_cell_angle_gamma 90.00
_space_group_name_H-M_alt 'P 4 m m'
_space_group_IT_number 99
_space_group_name_Hall 'P 4 -2'
loop_
_atom_site_label
_atom_site_fract_x
_atom_site_fract_y
_atom_site_fract_z
Li1 0.000 0.000 0.000
Bi1 0.000 0.000 0.159
Bi2 0.000 0.000 0.406
Bi3 0.500 0.500 0.959
Pb1 0.500 0.500 0.572
W1 0.000 0.000 0.758
Cl1 0.500 0.500 0.240
O1 0.000 0.000 0.637
O2 0.000 0.000 0.889
O3 0.000 0.500 0.045
O4 0.000 0.500 0.472
O5 0.000 0.500 0.764